*one*
Below is an optimized crystal structure of VCo2Br, with properties calculated at the PBE level.

a b c (Å): 5.5439 5.5439 9.2893
angles (deg): 90.00 90.00 90.00
Last column: nearest neighbours and their distance in Å.
Space group I-42d (No. 122)
One atom of each set of equivalent atoms:
V1 0.0000 0.0000 0.0000 x4  4 Co 2.22
Co1 0.2309 0.2500 0.1250 x8  2 V 2.22, 2 Br 2.34
Br1 0.0000 0.0000 0.5000 x4  4 Co 2.34

***

*two*
Below is an optimized crystal structure of VCo2Br, with properties calculated at the PBE level.

a b c (Å): 6.0306 6.0306 6.0306
angles (deg): 90.00 90.00 90.00
Last column: nearest neighbours and their distance in Å.
Space group Fm-3m (No. 225)
One atom of each set of equivalent atoms:
V1 0.0000 0.0000 0.0000 x4  8 Co 2.61
Co1 0.2500 0.2500 0.2500 x8  4 Br 2.61, 4 V 2.61
Br1 0.0000 0.0000 0.5000 x4  8 Co 2.61

***

Quick look at relative energies in kJ/mol of atoms: *one* 0.0; *two* 3.7.

***

*one*
Below is an optimized crystal structure of CoW2Br, with properties calculated at the PBE level.

a b c (Å): 3.0109 4.7467 9.0282
angles (deg): 90.00 90.00 90.00
Last column: nearest neighbours and their distance in Å.
Space group Cmmm (No. 65)
One atom of each set of equivalent atoms:
Co1 0.0000 0.0000 0.0000 x2  4 W 2.51
W1 0.0000 0.5000 0.2224 x4  2 Co 2.51
Br1 0.0000 0.0000 0.5000 x2  6 Br 2.81-3.01, 4 W 2.92

***

*two*
Below is an optimized crystal structure of CoW2Br, with properties calculated at the PBE level.

a b c (Å): 3.7220 3.7220 4.5719
angles (deg): 90.00 90.00 90.00
Last column: nearest neighbours and their distance in Å.
Space group P4/mmm (No. 123)
One atom of each set of equivalent atoms:
Co1 0.0000 0.0000 0.0000 x1  4 Br 2.63, 8 W 2.95
W1 0.0000 0.5000 0.5000 x2  4 W 2.63, 4 Co 2.95, 4 Br 2.95
Br1 0.5000 0.5000 0.0000 x1  4 Co 2.63, 8 W 2.95

***

*three*
Below is an optimized crystal structure of CoW2Br, with properties calculated at the PBE level.

a b c (Å): 3.7634 3.7634 8.9113
angles (deg): 90.00 90.00 90.00
Last column: nearest neighbours and their distance in Å.
Space group I4/mmm (No. 139)
One atom of each set of equivalent atoms:
Co1 0.0000 0.0000 0.0000 x2  4 Br 2.66, 8 W 2.92
W1 0.0000 0.5000 0.2500 x4  4 W 2.66, 4 Co 2.92, 4 Br 2.92
Br1 0.0000 0.0000 0.5000 x2  4 Co 2.66, 8 W 2.92

***

Quick look at relative energies in kJ/mol of atoms: *one* 0.0; *two* 29.9; *three* 25.9.

***

*one*
Below is an optimized crystal structure of CoW3Br, with properties calculated at the PBE level.

a b c (Å): 4.5594 4.5594 4.5594
angles (deg): 90.00 90.00 90.00
Last column: nearest neighbours and their distance in Å.
Space group Pm-3m (No. 221)
One atom of each set of equivalent atoms:
Co1 0.0000 0.0000 0.0000 x1  12 W 3.22
W1 0.0000 0.5000 0.5000 x3  2 Br 2.28
Br1 0.5000 0.5000 0.5000 x1  6 W 2.28

***

*two*
Below is an optimized crystal structure of CoW3Br, with properties calculated at the PBE level.

a b c (Å): 4.5464 4.5464 4.5464
angles (deg): 90.00 90.00 90.00
Last column: nearest neighbours and their distance in Å.
Space group Pm-3m (No. 221)
One atom of each set of equivalent atoms:
Co1 0.0000 0.0000 0.0000 x1  6 W 2.27
W1 0.0000 0.0000 0.5000 x3  2 Co 2.27
Br1 0.5000 0.5000 0.5000 x1  12 W 3.21

***

Quick look at relative energies in kJ/mol of atoms: *one* 56.4; *two* 0.0.

***

*one*
Below is an optimized crystal structure of YCoBr3, with properties calculated at the PBE level.

a b c (Å): 5.5983 5.5983 5.5983
angles (deg): 90.00 90.00 90.00
Last column: nearest neighbours and their distance in Å.
Space group Pm-3m (No. 221)
One atom of each set of equivalent atoms:
Y1 0.0000 0.0000 0.0000 x1  6 Br 2.80
Co1 0.5000 0.5000 0.5000 x1  12 Br 3.96
Br1 0.0000 0.0000 0.5000 x3  2 Y 2.80

***

*two*
Below is an optimized crystal structure of YCoBr3, with properties calculated at the PBE level.

a b c (Å): 4.8828 4.8828 4.8828
angles (deg): 90.00 90.00 90.00
Last column: nearest neighbours and their distance in Å.
Space group Pm-3m (No. 221)
One atom of each set of equivalent atoms:
Y1 0.0000 0.0000 0.0000 x1  12 Br 3.45
Co1 0.5000 0.5000 0.5000 x1  6 Br 2.44
Br1 0.0000 0.5000 0.5000 x3  2 Co 2.44

***

Quick look at relative energies in kJ/mol of atoms: *one* 0.0; *two* 10.9.